Run i
The following is a DFT calculation (GGA-PBE) of crystalline Cu2TcMo at its relaxed geometry.

Results
Fermi-level density of states = 3.01 states/eV/f.u.
Spin magnetization = 0.00 μB/f.u.

Cell lengths 2.6296, 2.6296, 7.9198 Å; angles 90.00, 90.00, 90.00 degrees
With the nearest neighbours (Å) after each atom.
Space group P4mm (No. 99)
Symmetry-distinct sites (fractional):
Cu  0.0000  0.0000  0.0000 (multiplicity 1)  8 Cu 2.56-2.63, 4 Tc 2.68
Cu  0.5000  0.5000  0.2228 (multiplicity 1)  8 Cu 2.56-2.63, 4 Mo 2.72
Tc  0.5000  0.5000  0.7562 (multiplicity 1)  4 Tc 2.63, 4 Cu 2.68, 4 Mo 2.91
Mo  0.0000  0.0000  0.4736 (multiplicity 1)  4 Mo 2.63, 4 Cu 2.72, 4 Tc 2.91


Run ii
The following is a DFT calculation (GGA-PBE) of crystalline Cu2TcMo at its relaxed geometry.

Results
Fermi-level density of states = 2.87 states/eV/f.u.
Spin magnetization = 0.00 μB/f.u.

Cell lengths 2.5979, 4.2399, 5.0348 Å; angles 90.00, 97.43, 90.00 degrees
With the nearest neighbours (Å) after each atom.
Space group Pm (No. 6)
Symmetry-distinct sites (fractional):
Cu  0.0000  0.0000  0.0000 (multiplicity 1)  4 Cu 2.43-2.60, 1 Mo 2.63
Cu  0.0626  0.5000  0.2386 (multiplicity 1)  4 Cu 2.43-2.60, 1 Tc 2.64
Tc  0.4264  0.5000  0.7525 (multiplicity 1)  2 Mo 2.59, 2 Tc 2.60, 7 Cu 2.64-2.79
Mo  0.6315  0.0000  0.4890 (multiplicity 1)  2 Tc 2.59, 2 Mo 2.60, 7 Cu 2.63-2.79


Of them, the most stable is run ii and the least stable is run i.


Run i
The following is a DFT calculation (GGA-PBE) of crystalline CrIr2W at its relaxed geometry.

Results
Fermi-level density of states = 3.65 states/eV/f.u.
Spin magnetization = 1.17 μB/f.u.

Cell lengths 3.8476, 3.8476, 7.7534 Å; angles 90.00, 90.00, 90.00 degrees
With the nearest neighbours (Å) after each atom.
Space group I-4m2 (No. 119)
Symmetry-distinct sites (fractional):
Cr  0.0000  0.0000  0.0000 (multiplicity 2)  8 Ir 2.72-2.73, 4 W 2.73
Ir  0.0000  0.0000  0.5000 (multiplicity 2)  4 Cr 2.72, 4 W 2.73, 4 Ir 2.73
Ir  0.0000  0.5000  0.7500 (multiplicity 2)  4 W 2.72, 4 Cr 2.73, 4 Ir 2.73
W  0.0000  0.5000  0.2500 (multiplicity 2)  8 Ir 2.72-2.73, 4 Cr 2.73


Run ii
The following is a DFT calculation (GGA-PBE) of crystalline CrIr2W at its relaxed geometry.

Results
Fermi-level density of states = 3.48 states/eV/f.u.
Spin magnetization = 0.50 μB/f.u.

Cell lengths 9.0929, 2.7292, 4.6873 Å; angles 90.00, 100.27, 90.00 degrees
With the nearest neighbours (Å) after each atom.
Space group C2/m (No. 12)
Symmetry-distinct sites (fractional):
Cr  0.0000  0.0000  0.0000 (multiplicity 2)  6 Ir 2.70-2.75, 4 W 2.71, 2 Cr 2.73
Ir  0.2468  0.5000  0.2433 (multiplicity 4)  6 Ir 2.67-2.76, 3 Cr 2.70-2.75, 3 W 2.73-2.76
W  0.0000  0.5000  0.5000 (multiplicity 2)  4 Cr 2.71, 2 W 2.73, 6 Ir 2.73-2.76


Of them, the most stable is run i and the least stable is run ii.


Run i
The following is a DFT calculation (GGA-PBE) of crystalline SrTlBPb at its relaxed geometry.

Results
Fermi-level density of states = 0.94 states/eV/f.u.
Spin magnetization = 0.00 μB/f.u.

Cell lengths 10.8822, 4.1320, 5.0814 Å; angles 90.00, 111.52, 90.00 degrees
With the nearest neighbours (Å) after each atom.
Space group Cm (No. 8)
Symmetry-distinct sites (fractional):
Sr  0.0000  0.0000  0.0000 (multiplicity 2)  2 B 2.99
Tl  0.3331  0.0000  0.3311 (multiplicity 2)  2 B 2.42
B  0.2132  0.5000  0.1743 (multiplicity 2)  2 Tl 2.42, 2 Pb 2.59-2.62
Pb  0.1569  0.5000  0.6330 (multiplicity 2)  2 B 2.59-2.62


Run ii
The following is a DFT calculation (GGA-PBE) of crystalline SrTlBPb at its relaxed geometry.

Results
Fermi-level density of states = 1.78 states/eV/f.u.
Spin magnetization = 0.00 μB/f.u.

Cell lengths 4.3413, 4.3413, 11.6845 Å; angles 90.00, 90.00, 90.00 degrees
With the nearest neighbours (Å) after each atom.
Space group I4mm (No. 107)
Symmetry-distinct sites (fractional):
Sr  0.0000  0.0000  0.0000 (multiplicity 2)  4 B 3.07
Tl  0.0000  0.0000  0.6976 (multiplicity 2)  1 B 2.30
B  0.0000  0.0000  0.5006 (multiplicity 2)  1 Pb 2.25, 1 Tl 2.30
Pb  0.0000  0.0000  0.3079 (multiplicity 2)  1 B 2.25


Of them, the most stable is run ii and the least stable is run i.


Run i
The following is a DFT calculation (GGA-PBE) of crystalline BC2 at its relaxed geometry.

Results
Fermi-level density of states = 0.66 states/eV/f.u.
Spin magnetization = 0.00 μB/f.u.

Cell lengths 4.5777, 2.5724, 6.4961 Å; angles 90.00, 90.74, 90.00 degrees
With the nearest neighbours (Å) after each atom.
Space group Pm (No. 6)
Symmetry-distinct sites (fractional):
B  0.0000  0.0000  0.0000 (multiplicity 1)  2 C 1.61-1.62, 2 B 1.80
B  0.1381  0.5000  0.4278 (multiplicity 1)  4 C 1.61-1.67
B  0.6407  0.0000  0.4363 (multiplicity 1)  4 C 1.58-1.69
B  0.7831  0.5000  0.1172 (multiplicity 1)  2 C 1.54-1.60
C  0.1438  0.5000  0.6853 (multiplicity 1)  3 C 1.55-1.62, 1 B 1.67
C  0.3081  0.0000  0.3307 (multiplicity 1)  1 C 1.51, 3 B 1.63-1.66
C  0.3235  0.0000  0.0993 (multiplicity 1)  3 C 1.51-1.55, 1 B 1.61
C  0.4652  0.5000  0.0120 (multiplicity 1)  3 C 1.55-1.57, 1 B 1.60
C  0.4778  0.5000  0.7700 (multiplicity 1)  4 C 1.57-1.62
C  0.6416  0.0000  0.6961 (multiplicity 1)  3 C 1.57-1.58, 1 B 1.69
C  0.8010  0.5000  0.3544 (multiplicity 1)  4 B 1.54-1.61
C  0.9790  0.0000  0.7515 (multiplicity 1)  3 C 1.55-1.58, 1 B 1.62


Run ii
The following is a DFT calculation (GGA-PBE) of crystalline BC2 at its relaxed geometry.

Results
Fermi-level density of states = 0.31 states/eV/f.u.
Spin magnetization = 0.00 μB/f.u.

Cell lengths 12.2472, 2.5468, 5.0983 Å; angles 90.00, 103.31, 90.00 degrees
With the nearest neighbours (Å) after each atom.
Space group Cm (No. 8)
Symmetry-distinct sites (fractional):
B  0.0000  0.0000  0.0000 (multiplicity 2)  3 C 1.63-1.64
B  0.0220  0.0000  0.4399 (multiplicity 2)  1 C 1.67, 3 B 1.72-1.82
B  0.1187  0.0000  0.7446 (multiplicity 2)  2 C 1.54, 1 B 1.72
B  0.4142  0.0000  0.4139 (multiplicity 2)  2 C 1.57
C  0.1142  0.0000  0.2437 (multiplicity 2)  2 C 1.55, 2 B 1.64-1.67
C  0.1881  0.5000  0.2894 (multiplicity 2)  4 C 1.55-1.59
C  0.1912  0.5000  0.7971 (multiplicity 2)  2 C 1.53-1.56, 2 B 1.54
C  0.2649  0.5000  0.0826 (multiplicity 2)  4 C 1.53-1.57
C  0.2654  0.5000  0.5871 (multiplicity 2)  4 C 1.56-1.59
C  0.3392  0.0000  0.1191 (multiplicity 2)  3 C 1.53-1.55, 1 B 1.57
C  0.3430  0.0000  0.6337 (multiplicity 2)  3 C 1.53-1.57, 1 B 1.57
C  0.4162  0.0000  0.9208 (multiplicity 2)  2 C 1.53, 2 B 1.63


Of them, the most stable is run ii and the least stable is run i.